Here is KCdW after structural relaxation from Alexandria. Energies are from PBE.

POSCAR file:
```
KCdW
1.0
-1.301 -4.386 3.038
-1.355 -4.728 -2.443
3.420 -4.290 0.234
K Cd W
1 1 1
Direct
0.750 0.750 0.750
0.500 0.500 0.500
0.000 0.000 0.000
```

Offset from the most stable computed form: 3.80 eV per formula unit
Space-group type: F-43m
DFT formation energy: 2258 meV/atom
Volume: 117 Å³/cell
Total moment: 5.0 μB/f.u.
E_tot: -8.19 eV for the cell shown

Here is KCd2W after structural relaxation from Alexandria. Energies are from PBE.

POSCAR file:
```
KCd2W
1.0
-2.751 -0.190 -6.129
-4.760 -4.369 -1.854
2.593 5.158 3.442
Cd K W
2 1 1
Direct
0.770 0.270 0.500
0.012 0.012 0.000
0.497 0.497 0.000
0.221 0.721 0.500
```

Offset from the most stable computed form: 0.97 eV per formula unit
Space-group type: Imm2
DFT formation energy: 875 meV/atom
Volume: 94 Å³/cell
Total moment: 0.0 μB/f.u.
E_tot: -12.38 eV for the cell shown

Here is KCd2W after structural relaxation from Alexandria. Energies are from PBE.

POSCAR file:
```
KCd2W
1.0
-3.377 4.731 -1.122
-4.769 2.617 -2.333
-3.567 -0.173 4.406
K W Cd
1 1 2
Direct
0.497 0.497 0.575
0.262 0.262 0.154
0.999 0.999 0.086
0.742 0.742 0.685
```

Offset from the most stable computed form: 0.85 eV per formula unit
Space-group type: Cm
DFT formation energy: 845 meV/atom
Volume: 90 Å³/cell
Total moment: 0.0 μB/f.u.
E_tot: -12.50 eV for the cell shown

Here is KCd3W after structural relaxation from Alexandria. Energies are from PBE.

POSCAR file:
```
KCd3W
1.0
-1.936 -1.524 5.606
-4.812 -2.889 -2.448
3.254 -5.179 -0.284
Cd W K
3 1 1
Direct
0.000 0.000 0.500
0.500 0.000 0.000
0.000 0.500 0.000
0.500 0.500 0.500
0.000 0.000 0.000
```

Offset from the most stable computed form: 5.45 eV per formula unit
Space-group type: Pm-3m
DFT formation energy: 1872 meV/atom
Volume: 230 Å³/cell
Total moment: 5.1 μB/f.u.
E_tot: -7.44 eV for the cell shown

Here is KCd2W after structural relaxation from Alexandria. Energies are from PBE.

POSCAR file:
```
KCd2W
1.0
-4.598 -3.080 -0.842
3.085 -4.666 0.218
-2.188 -4.371 9.320
W Cd K
2 4 2
Direct
0.750 0.250 0.500
0.000 0.000 0.000
0.875 0.106 0.750
0.856 0.125 0.250
0.894 0.625 0.250
0.375 0.144 0.750
0.250 0.750 0.500
0.500 0.500 0.000
```

Offset from the most stable computed form: 2.53 eV per formula unit
Space-group type: I-42d
DFT formation energy: 1267 meV/atom
Volume: 306 Å³/cell
Total moment: 3.6 μB/f.u.
E_tot: -21.63 eV for the cell shown

Here is KCd2W after structural relaxation from Alexandria. Energies are from PBE.

POSCAR file:
```
KCd2W
1.0
11.290 0.004 0.002
10.888 2.984 0.002
10.888 1.467 2.599
Cd W K
2 1 1
Direct
0.490 0.490 0.490
0.010 0.010 0.010
0.750 0.750 0.750
0.250 0.250 0.250
```

Offset from the most stable computed form: 0.10 eV per formula unit
Space-group type: R-3m
DFT formation energy: 659 meV/atom
Volume: 87 Å³/cell
Total moment: 0.0 μB/f.u.
E_tot: -13.24 eV for the cell shown

Here is K4CdW after structural relaxation from Alexandria. Energies are from PBE.

POSCAR file:
```
K4CdW
1.0
0.000 5.142 5.142
5.142 0.000 5.142
5.142 5.142 0.000
K W Cd
4 1 1
Direct
0.376 0.376 0.873
0.873 0.376 0.376
0.376 0.873 0.376
0.376 0.376 0.376
0.750 0.750 0.750
0.000 0.000 0.000
```

Space-group type: F-43m
DFT formation energy: 1229 meV/atom
Volume: 272 Å³/cell
Total moment: 5.1 μB/f.u.
E_tot: -10.88 eV for the cell shown

Here is KCdW3 after structural relaxation from Alexandria. Energies are from PBE.

POSCAR file:
```
KCdW3
1.0
5.042 0.000 0.000
0.000 5.042 0.000
0.000 0.000 5.042
K W Cd
1 3 1
Direct
0.500 0.500 0.500
0.000 0.000 0.500
0.500 0.000 0.000
0.000 0.500 0.000
0.000 0.000 0.000
```

Offset from the most stable computed form: 0.00 eV per formula unit
Space-group type: Pm-3m
DFT formation energy: 3152 meV/atom
Volume: 128 Å³/cell
Total moment: 0.0 μB/f.u.
E_tot: -25.11 eV for the cell shown

Here is K2CdW after structural relaxation from Alexandria. Energies are from PBE.

POSCAR file:
```
K2CdW
1.0
-3.588 -1.470 9.834
1.667 -3.619 9.791
0.787 5.291 -9.117
K Cd W
2 1 1
Direct
0.100 0.100 0.000
0.400 0.400 0.000
0.250 0.750 0.500
0.750 0.250 0.500
```

Space-group type: Immm
DFT formation energy: 1069 meV/atom
Volume: 149 Å³/cell
Total moment: 2.3 μB/f.u.
E_tot: -11.79 eV for the cell shown

Here is KCdW after structural relaxation from Alexandria. Energies are from PBE.

POSCAR file:
```
KCdW
1.0
2.930 0.000 0.000
-1.465 2.538 0.000
0.000 0.000 8.795
Cd K W
1 1 1
Direct
0.000 0.000 0.976
0.667 0.333 0.338
0.333 0.667 0.686
```

Offset from the most stable computed form: 0.00 eV per formula unit
Space-group type: P3m1
DFT formation energy: 990 meV/atom
Volume: 65 Å³/cell
Total moment: 0.0 μB/f.u.
E_tot: -12.00 eV for the cell shown

Here is K2CdW after structural relaxation from Alexandria. Energies are from PBE.

POSCAR file:
```
K2CdW
1.0
-1.678 1.677 1.725
0.170 -2.016 2.124
9.973 5.464 4.387
Cd K W
1 2 1
Direct
0.500 0.500 0.750
0.000 0.000 0.487
0.000 0.000 0.013
0.500 0.500 0.250
```

Space-group type: P4/mmm
DFT formation energy: 1100 meV/atom
Volume: 105 Å³/cell
Total moment: 0.0 μB/f.u.
E_tot: -11.66 eV for the cell shown

Here is K2CdW after structural relaxation from Alexandria. Energies are from PBE.

POSCAR file:
```
K2CdW
1.0
3.767 0.000 0.000
0.000 3.767 0.000
0.000 0.000 10.236
W Cd K
1 1 2
Direct
0.000 0.000 0.582
0.500 0.500 0.669
0.500 0.500 0.327
0.000 0.000 0.922
```

Space-group type: P4mm
DFT formation energy: 1100 meV/atom
Volume: 145 Å³/cell
Total moment: 2.8 μB/f.u.
E_tot: -11.66 eV for the cell shown